12
Lattice="-5.6842 1.3338 -3.4110 -2.7801 -6.2087 -0.6174 -4.1495 0.7599 6.5484" Properties=species:S:1:pos:R:3 comment="TmAsSe2S2 (PBE-GGA, optimized geometry)" total_magnetization_mub_per_fu=0.00 final_energy_ev_per_fu=-29.10 sg="P-1 (2)" pbc="T T T"
S -4.1906 0.6111 4.8846
S -8.4231 -4.7262 -2.3647
S -3.4716 -1.1978 -1.0488
S -9.1422 -2.9172 3.5687
Se -5.8795 -4.0836 0.5154
Se -4.9684 -2.7086 4.4132
Se -7.6453 -1.4064 -1.8934
Se -6.7343 -0.0314 2.0045
Tm -3.3536 -4.0268 -0.7592
Tm -9.2602 -0.0883 3.2791
As -5.9061 -0.5602 4.0922
As -6.7077 -3.5548 -1.5724

---

5
Lattice="-1.5322 -3.2523 1.1912 3.1734 1.2992 1.6080 -5.5190 5.0847 6.7835" Properties=species:S:1:pos:R:3 comment="GdDyCBr2 (PBE-GGA, optimized geometry)" total_magnetization_mub_per_fu=0.01 final_energy_ev_per_fu=-28.19 sg="P3m1 (156)" pbc="T T T"
Br 0.6363 0.6744 2.6596
Br -4.5290 2.4709 6.9415
C -2.7493 2.5329 3.3792
Dy -1.9822 0.1246 3.8113
Gd -1.8908 3.0026 5.7657

---

8
Lattice="-1.7679 -3.0620 0.0000 0.0000 0.0000 5.8611 -5.2949 3.0570 0.0000" Properties=species:S:1:pos:R:3 comment="HoHfNO (PBE-GGA, optimized geometry)" total_magnetization_mub_per_fu=0.23 final_energy_ev_per_fu=-35.53 sg="Pmc2_1 (26)" pbc="T T T"
Hf -1.5760 -1.1314 5.6982
Hf -5.4867 1.1264 2.7677
N -1.6667 0.9623 5.4657
N -3.6282 2.0947 2.5351
Ho -1.7266 0.9969 3.0450
Ho -3.5683 2.0602 0.1145
O -5.0959 0.9008 4.8630
O -1.9668 -0.9058 1.9324

---

20
Lattice="7.7991 0.0000 0.0000 0.0000 11.0157 0.0000 0.0000 0.0000 7.6874" Properties=species:S:1:pos:R:3 comment="KCoI3 (PBE-GGA, optimized geometry)" total_magnetization_mub_per_fu=2.41 final_energy_ev_per_fu=-15.21 sg="Pnma (62)" pbc="T T T"
K 0.5353 2.7539 0.1728
K 4.4348 2.7539 3.6709
K 3.3643 8.2618 4.0165
K 7.2638 8.2618 7.5146
I 0.0700 2.7539 4.4032
I 5.4713 10.6491 5.4194
I 3.8295 8.2618 0.5595
I 3.9696 2.7539 7.1280
I 6.2274 0.3667 1.5757
I 6.2274 5.1412 1.5757
I 2.3278 5.1412 2.2680
I 1.5717 5.8745 6.1117
I 5.4713 5.8745 5.4194
I 7.7291 8.2618 3.2842
I 1.5717 10.6491 6.1117
I 2.3278 0.3667 2.2680
Co 0.0000 5.5079 3.8437
Co 3.8996 0.0000 0.0000
Co 0.0000 0.0000 3.8437
Co 3.8996 5.5079 0.0000

---

8
Lattice="4.1782 0.0000 0.0000 0.0000 2.1258 8.3614 0.0000 -2.1258 8.3614" Properties=species:S:1:pos:R:3 comment="Pr2FeSi4Pt (PBE-GGA, optimized geometry)" total_magnetization_mub_per_fu=0.03 final_energy_ev_per_fu=-51.91 sg="Amm2 (38)" pbc="T T T"
Pr 2.0891 0.0000 14.9903
Pr 0.0000 0.0000 1.7580
Si 2.0891 0.0000 4.0385
Si 2.0891 0.0000 9.1361
Si 0.0000 0.0000 7.7811
Si 0.0000 0.0000 12.4065
Fe 2.0891 0.0000 11.4066
Pt 0.0000 0.0000 5.3742

---

10
Lattice="-1.6613 -2.0677 7.3568 -5.0551 4.2335 4.2049 -7.0417 -2.9194 1.7459" Properties=species:S:1:pos:R:3 comment="Rb2InAgBr6 (PBE-GGA, optimized geometry)" final_energy_ev_per_fu=-28.53 sg="Fm-3m (225)" pbc="T T T"
Br -7.7760 -2.6440 7.8580
Br -9.4450 0.4547 6.3080
Br -4.3131 -1.2083 6.9995
Br -5.9821 1.8903 5.4495
Br -6.7990 0.8735 9.0673
Br -6.9591 -1.6272 4.2402
In -6.8791 -0.3768 6.6538
Rb -10.3186 -0.5652 9.9806
Rb -3.4395 -0.1884 3.3269
Ag 0.0000 0.0000 0.0000

---

7
Lattice="-1.1085 4.2873 5.7647 -3.8852 4.7336 3.9167 -1.5386 -5.6752 0.9414" Properties=species:S:1:pos:R:3 comment="Nd2SiW2C2 (PBE-GGA, optimized geometry)" total_magnetization_mub_per_fu=0.01 final_energy_ev_per_fu=-60.44 sg="C2/m (12)" pbc="T T T"
Si -0.7693 -2.8376 0.4707
C -4.8608 2.5974 7.9306
C -1.6715 0.7484 2.6922
W -1.6679 -1.3468 2.1808
W -4.8644 4.6926 8.4420
Nd -4.6085 0.2157 6.9764
Nd -1.9238 3.1300 3.6464

---

39
Lattice="12.4802 -0.0002 0.0000 -6.2402 10.8073 0.0000 0.0000 0.0000 3.6306" Properties=species:S:1:pos:R:3 comment="Zr6Ni20P13 (PBE-GGA, optimized geometry)" total_magnetization_mub_per_fu=0.00 final_energy_ev_per_fu=-267.50 sg="P-6 (174)" pbc="T T T"
Zr -2.0923 7.7629 0.0000
Zr 4.7229 2.0681 1.8153
Zr 5.6697 5.6831 1.8153
Zr 0.5627 5.1139 0.0000
Zr 1.5294 8.7376 0.0000
Zr 8.3274 3.0556 1.8153
Ni 1.5181 0.8492 1.8153
Ni 7.1740 0.2280 1.8153
Ni 4.3481 9.7892 0.0000
Ni 0.0000 7.2048 1.8153
Ni 0.0640 2.1472 0.0000
Ni 8.6956 6.0981 1.8153
Ni -0.8912 10.5857 0.0000
Ni 6.2400 3.6023 0.0000
Ni -4.4125 9.6781 0.0000
Ni 7.2742 7.3065 0.0000
Ni 8.9312 0.8545 0.0000
Ni 2.8505 4.4808 1.8153
Ni -1.1263 3.4963 1.8153
Ni 3.7748 8.0836 1.8153
Ni -2.4827 4.7428 0.0000
Ni -2.6489 10.0343 1.8153
Ni 6.2164 9.0678 1.8153
Ni 10.9856 0.8901 1.8153
Ni 3.3737 6.2860 0.0000
Ni 2.5146 2.6458 0.0000
P -1.5396 5.6997 1.8153
P 0.0000 0.0000 0.0000
P 6.7871 1.5135 0.0000
P -0.5340 9.2906 1.8153
P 10.3558 2.5286 0.0000
P 7.7755 5.1204 0.0000
P 3.2522 0.5752 0.0000
P 2.0733 6.6242 1.8153
P 3.0101 10.2346 1.8153
P -4.1293 8.2966 1.8153
P 4.1574 4.1729 0.0000
P 1.1190 3.0832 1.8153
P 5.1122 7.7033 0.0000